! PBE-GGA HgIr2CF, optimized geometry; values from VASP
! N(E_F): 0.95 states/eV/atom
! DFT total energy: -5.53 eV/atom
! Spin magnetization: 0.00 μB/f.u.
! Formation energy without anion corrections: 293 meV/atom
&SYSTEM
  ibrav = 0, nat = 5, ntyp = 4
/
ATOMIC_SPECIES
Hg 200.59 Hg.upf
Ir 192.22 Ir.upf
C 12.01 C.upf
F 19.00 F.upf
CELL_PARAMETERS angstrom
3.937 0.000 0.000
0.000 3.937 0.000
0.000 0.000 4.805
ATOMIC_POSITIONS angstrom
Hg 0.000 0.000 0.000
Ir 0.000 1.968 2.403
Ir 1.968 0.000 2.403
C 1.968 1.968 2.403
F 1.968 1.968 0.000

! PBE-GGA KHgC2F, optimized geometry; values from VASP
! N(E_F): 0.31 states/eV/atom
! DFT total energy: -2.35 eV/atom
! Spin magnetization: 3.80 μB/f.u.
! Formation energy without anion corrections: 1997 meV/atom
&SYSTEM
  ibrav = 0, nat = 5, ntyp = 4
/
ATOMIC_SPECIES
K 39.10 K.upf
Hg 200.59 Hg.upf
C 12.01 C.upf
F 19.00 F.upf
CELL_PARAMETERS angstrom
4.570 0.000 0.000
0.000 4.570 0.000
0.000 0.000 5.376
ATOMIC_POSITIONS angstrom
K 0.000 0.000 0.000
Hg 2.285 2.285 0.000
C 0.000 2.285 2.688
C 2.285 0.000 2.688
F 2.285 2.285 2.688